BeSb2Mo | PBEsol | optimized geometry

space group: No. 65
density: 8.2 g/cm3
formation energy (no corrections): 526 meV per atom
crystal system: orthorhombic

Unit cell a=6.4370 b=6.4709 c=3.3760 alpha=90.00 beta=90.00 gamma=90.00
Last column: nearest neighbours and their distance in Å.
Positions (direct):
Be (0.0000, 0.0000, 0.0000)  8 Sb 2.84
Be (0.5000, 0.5000, 0.0000)  8 Sb 2.84
Sb (0.2500, 0.2500, 0.5000)  4 Mo 2.84, 4 Be 2.84
Sb (0.2500, 0.7500, 0.5000)  4 Mo 2.84, 4 Be 2.84
Sb (0.7500, 0.2500, 0.5000)  4 Mo 2.84, 4 Be 2.84
Sb (0.7500, 0.7500, 0.5000)  4 Mo 2.84, 4 Be 2.84
Mo (0.0000, 0.5000, 0.0000)  8 Sb 2.84
Mo (0.5000, 0.0000, 0.0000)  8 Sb 2.84